*A*
Here is Cu2TcAg at its PBEsol-relaxed geometry from the Alexandria database. Energies are from meta-GGA SCAN.

a b c (Å): 2.569 3.711 5.626
angles (deg): 90.00 90.00 90.00
Space group Pmmm (No. 47)
One atom of each set of equivalent atoms:
Cu 0.000 0.000 0.232
Tc 0.500 0.500 0.000
Ag 0.500 0.500 0.500

**Mass density**: 10308 kg/m3
**Spin magnetization**: 0.002 μB/cell
**Crystal system**: orthorhombic

***

*B*
Here is Cu2TcAg at its PBEsol-relaxed geometry from the Alexandria database. Energies are from meta-GGA SCAN.

a b c (Å): 2.553 3.866 5.427
angles (deg): 90.00 90.00 90.00
Space group Pmm2 (No. 25)
One atom of each set of equivalent atoms:
Cu 0.000 0.000 0.000
Cu 0.500 0.500 0.245
Tc 0.000 0.000 0.470
Ag 0.500 0.500 0.755

**Mass density**: 10319 kg/m3
**Spin magnetization**: 0.003 μB/cell
**Crystal system**: orthorhombic

***

Quick ranking, most stable first: *A*, *B*.

***

*A*
Here is CuAg2W at its PBEsol-relaxed geometry from the Alexandria database. Energies are from meta-GGA SCAN.

a b c (Å): 2.697 2.697 8.197
angles (deg): 90.00 90.00 90.00
Space group P4/mmm (No. 123)
One atom of each set of equivalent atoms:
Cu 0.000 0.000 0.000
Ag 0.500 0.500 0.233
W 0.000 0.000 0.500

**Mass density**: 12899 kg/m3
**Spin magnetization**: 0.000 μB/cell
**Crystal system**: tetragonal

***

*B*
Here is CuAg2W at its PBEsol-relaxed geometry from the Alexandria database. Energies are from meta-GGA SCAN.

a b c (Å): 3.697 3.697 4.448
angles (deg): 90.00 90.00 90.00
Space group P4/mmm (No. 123)
One atom of each set of equivalent atoms:
Cu 0.000 0.000 0.000
Ag 0.000 0.500 0.500
W 0.500 0.500 0.000

**Mass density**: 12649 kg/m3
**Spin magnetization**: 0.000 μB/cell
**Crystal system**: tetragonal

***

Quick ranking, most stable first: *A*, *B*.

***

*A*
Here is CuAgW2 at its PBEsol-relaxed geometry from the Alexandria database. Energies are from meta-GGA SCAN.

a b c (Å): 3.218 3.218 5.802
angles (deg): 90.00 90.00 90.00
Space group P4mm (No. 99)
One atom of each set of equivalent atoms:
Cu 0.000 0.000 0.000
Ag 0.500 0.500 0.777
W 0.000 0.000 0.481
W 0.500 0.500 0.255

**Mass density**: 14900 kg/m3
**Spin magnetization**: 0.000 μB/cell
**Crystal system**: tetragonal

***

*B*
Here is CuAgW2 at its PBEsol-relaxed geometry from the Alexandria database. Energies are from meta-GGA SCAN.

a b c (Å): 3.165 4.332 8.754
angles (deg): 90.00 90.00 90.00
Space group Cmm2 (No. 35)
One atom of each set of equivalent atoms:
Cu 0.000 0.000 0.000
Ag 0.000 0.500 0.758
W 0.000 0.000 0.487
W 0.000 0.500 0.235

**Mass density**: 14917 kg/m3
**Spin magnetization**: 0.000 μB/cell
**Crystal system**: orthorhombic

***

*C*
Here is CuAgW2 at its PBEsol-relaxed geometry from the Alexandria database. Energies are from meta-GGA SCAN.

a b c (Å): 3.709 3.709 4.286
angles (deg): 90.00 90.00 90.00
Space group P4/mmm (No. 123)
One atom of each set of equivalent atoms:
Cu 0.000 0.000 0.000
Ag 0.500 0.500 0.000
W 0.000 0.500 0.500

**Mass density**: 15183 kg/m3
**Spin magnetization**: 0.000 μB/cell
**Crystal system**: tetragonal

***

Quick ranking, most stable first: *B*, *A*, *C*.

***

*A*
Here is Y2CuAg at its PBEsol-relaxed geometry from the Alexandria database. Energies are from meta-GGA SCAN.

a b c (Å): 7.016 7.016 7.016
angles (deg): 90.00 90.00 90.00
Space group Fm-3m (No. 225)
One atom of each set of equivalent atoms:
Y 0.250 0.250 0.250
Cu 0.000 0.000 0.000
Ag 0.000 0.000 0.500

**Mass density**: 6718 kg/m3
**Spin magnetization**: 0.000 μB/cell
**Crystal system**: cubic

***

*B*
Here is Y2CuAg at its PBEsol-relaxed geometry from the Alexandria database. Energies are from meta-GGA SCAN.

a b c (Å): 3.688 4.588 5.570
angles (deg): 90.00 109.15 90.00
Space group Pm (No. 6)
One atom of each set of equivalent atoms:
Y 0.000 0.000 0.000
Y 0.281 0.500 0.565
Cu 0.716 0.000 0.435
Ag 0.567 0.500 0.133

**Mass density**: 6513 kg/m3
**Spin magnetization**: 0.000 μB/cell
**Crystal system**: monoclinic

***

Quick ranking, most stable first: *A*, *B*.

***

*A*
Here is ZrCuAg2 at its PBEsol-relaxed geometry from the Alexandria database. Energies are from meta-GGA SCAN.

a b c (Å): 3.098 3.098 6.954
angles (deg): 90.00 90.00 90.00
Space group P4mm (No. 99)
One atom of each set of equivalent atoms:
Zr 0.000 0.000 0.000
Cu 0.500 0.500 0.757
Ag 0.000 0.000 0.547
Ag 0.500 0.500 0.294

**Mass density**: 9220 kg/m3
**Spin magnetization**: 0.002 μB/cell
**Crystal system**: tetragonal

***

*B*
Here is ZrCuAg2 at its PBEsol-relaxed geometry from the Alexandria database. Energies are from meta-GGA SCAN.

a b c (Å): 2.8898 2.8898 27.6630
angles (deg): 90.00 90.00 120.00
Space group R-3m (No. 166, hexagonal axes)
One atom of each set of equivalent atoms:
Zr 0.0000 0.0000 0.0000
Cu 0.0000 0.0000 0.5000
Ag 0.0000 0.0000 0.2419

**Mass density**: 9225 kg/m3
**Spin magnetization**: 0.000 μB/cell
**Crystal system**: trigonal

***

Quick ranking, most stable first: *A*, *B*.

***

*A*
Here is Zr2CuAg at its PBEsol-relaxed geometry from the Alexandria database. Energies are from meta-GGA SCAN.

a b c (Å): 3.345 3.345 6.480
angles (deg): 90.00 90.00 90.00
Space group P4mm (No. 99)
One atom of each set of equivalent atoms:
Zr 0.000 0.000 0.000
Zr 0.500 0.500 0.302
Cu 0.500 0.500 0.771
Ag 0.000 0.000 0.559

**Mass density**: 8106 kg/m3
**Spin magnetization**: 0.000 μB/cell
**Crystal system**: tetragonal

***

*B*
Here is Zr2CuAg at its PBEsol-relaxed geometry from the Alexandria database. Energies are from meta-GGA SCAN.

a b c (Å): 10.624 2.990 4.969
angles (deg): 90.00 114.28 90.00
Space group Cm (No. 8)
One atom of each set of equivalent atoms:
Zr 0.000 0.000 0.000
Zr 0.227 0.000 0.646
Cu 0.244 0.500 0.144
Ag 0.457 0.000 0.460

**Mass density**: 8168 kg/m3
**Spin magnetization**: 0.000 μB/cell
**Crystal system**: monoclinic

***

Quick ranking, most stable first: *A*, *B*.

***

*A*
Here is ZrCuAg at its PBEsol-relaxed geometry from the Alexandria database. Energies are from meta-GGA SCAN.

a b c (Å): 4.4956 4.4956 2.8109
angles (deg): 90.00 90.00 120.00
Space group P-6m2 (No. 187)
One atom of each set of equivalent atoms:
Zr 0.0000 0.0000 0.0000
Cu 0.3333 0.6667 0.5000
Ag 0.6667 0.3333 0.5000

**Mass density**: 8865 kg/m3
**Spin magnetization**: 0.000 μB/cell
**Crystal system**: hexagonal

***

*B*
Here is ZrCuAg at its PBEsol-relaxed geometry from the Alexandria database. Energies are from meta-GGA SCAN.

a b c (Å): 6.156 6.156 6.156
angles (deg): 90.00 90.00 90.00
Space group F-43m (No. 216)
One atom of each set of equivalent atoms:
Zr 0.000 0.000 0.000
Cu 0.000 0.000 0.500
Ag 0.250 0.250 0.750

**Mass density**: 7478 kg/m3
**Spin magnetization**: 0.044 μB/cell
**Crystal system**: cubic

***

*C*
Here is ZrCuAg at its PBEsol-relaxed geometry from the Alexandria database. Energies are from meta-GGA SCAN.

a b c (Å): 3.055 3.735 8.696
angles (deg): 90.00 90.00 90.00
Space group Imm2 (No. 44)
One atom of each set of equivalent atoms:
Zr 0.000 0.000 0.000
Cu 0.000 0.000 0.334
Ag 0.000 0.000 0.682

**Mass density**: 8790 kg/m3
**Spin magnetization**: 0.014 μB/cell
**Crystal system**: orthorhombic

***

Quick ranking, most stable first: *A*, *C*, *B*.

***

*A*
Here is LiAgF3 at its PBEsol-relaxed geometry from the Alexandria database. Energies are from meta-GGA SCAN.

a b c (Å): 5.252 5.324 5.591
angles (deg): 64.34 85.73 61.37
Space group P-1 (No. 2)
One atom of each set of equivalent atoms:
Li 0.131 0.208 0.446
Ag 0.336 0.805 0.040
F 0.098 0.628 0.297
F 0.198 0.747 0.736
F 0.449 0.993 0.260

**Mass density**: 4680 kg/m3
**Spin magnetization**: 1.993 μB/cell
**Crystal system**: triclinic

***

*B*
Here is LiAgF3 at its PBEsol-relaxed geometry from the Alexandria database. Energies are from meta-GGA SCAN.

a b c (Å): 5.3327 5.3327 14.9262
angles (deg): 90.00 90.00 120.00
Space group R3c (No. 161, hexagonal axes)
One atom of each set of equivalent atoms:
Li 0.0000 0.0000 0.0000
Ag 0.0000 0.0000 0.2095
F 0.0104 0.3574 0.2838

**Mass density**: 4657 kg/m3
**Spin magnetization**: 0.002 μB/cell
**Crystal system**: trigonal

***

*C*
Here is LiAgF3 at its PBEsol-relaxed geometry from the Alexandria database. Energies are from meta-GGA SCAN.

a b c (Å): 5.403 5.562 9.428
angles (deg): 90.00 121.08 90.00
Space group P2_1/c (No. 14)
One atom of each set of equivalent atoms:
Li 0.236 0.028 0.216
Ag 0.000 0.000 0.500
Ag 0.500 0.000 0.000
F 0.134 0.166 0.974
F 0.153 0.648 0.861
F 0.486 0.182 0.800

**Mass density**: 4703 kg/m3
**Spin magnetization**: 0.003 μB/cell
**Crystal system**: monoclinic

***

Quick ranking, most stable first: *C*, *A*, *B*.